Entry 1:
The following is a DFT calculation (GGA-PBEsol) of RbBe2As after structural relaxation.

As for the final energy: -25.27 eV/cell. As for the space group: I4_1/amd. The density of states at the Fermi level is 1.1 states/eV/f.u.

Geometry as POSCAR:
```
RbBe2As
1.0
-2.456 2.456 7.493
2.456 -2.456 7.493
2.456 2.456 -7.493
Rb Be As
2 4 2
direct
0.375 0.625 0.750
0.625 0.375 0.250
0.000 0.000 0.000
0.000 0.000 0.500
0.000 0.500 0.000
0.500 0.000 0.500
0.125 0.875 0.250
0.875 0.125 0.750
```


Entry 2:
The following is a DFT calculation (GGA-PBEsol) of RbBeAs after structural relaxation.

As for the final energy: -22.60 eV/cell. As for the space group: C2/m. The density of states at the Fermi level is 0.0 states/eV/f.u.

Geometry as POSCAR:
```
RbBeAs
1.0
6.675 -1.918 0.000
6.675 1.918 0.000
-1.708 0.000 6.048
Rb Be As
2 2 2
direct
0.092 0.092 0.311
0.908 0.908 0.689
0.216 0.216 0.919
0.784 0.784 0.081
0.362 0.362 0.200
0.638 0.638 0.800
```


Entry 3:
The following is a DFT calculation (GGA-PBEsol) of RbBe2As2 after structural relaxation.

As for the final energy: -20.76 eV/cell. As for the space group: I4/mmm. The density of states at the Fermi level is 1.5 states/eV/f.u.

Geometry as POSCAR:
```
RbBe2As2
1.0
-1.792 1.792 7.654
1.792 -1.792 7.654
1.792 1.792 -7.654
Rb Be As
1 2 2
direct
0.000 0.000 0.000
0.250 0.750 0.500
0.750 0.250 0.500
0.345 0.345 0.000
0.655 0.655 0.000
```


Entry 4:
The following is a DFT calculation (GGA-PBEsol) of BeReAs after structural relaxation.

As for the energy above the most stable polymorph in this dataset: 693 meV/atom. As for the space group: Fmm2. The density of states at the Fermi level is 2.1 states/eV/f.u.

Geometry as POSCAR:
```
BeReAs
1.0
0.000 2.303 5.947
1.518 0.000 5.947
1.518 2.303 0.000
Be Re As
1 1 1
direct
0.000 0.000 0.000
0.351 0.351 0.649
0.674 0.674 0.326
```


Entry 5:
The following is a DFT calculation (GGA-PBEsol) of BeReAs3 after structural relaxation.

As for the final energy: -26.99 eV/cell. As for the space group: Pm-3m. The density of states at the Fermi level is 4.2 states/eV/f.u.

Geometry as POSCAR:
```
BeReAs3
1.0
4.322 0.000 0.000
0.000 4.322 0.000
0.000 0.000 4.322
Be Re As
1 1 3
direct
0.000 0.000 0.000
0.500 0.500 0.500
0.000 0.000 0.500
0.000 0.500 0.000
0.500 0.000 0.000
```


Entry 6:
The following is a DFT calculation (GGA-PBEsol) of BeReAs after structural relaxation.

As for the energy above the most stable polymorph in this dataset: 0 meV/atom. As for the space group: I4mm. The density of states at the Fermi level is 0.3 states/eV/f.u.

Geometry as POSCAR:
```
BeReAs
1.0
-1.549 1.549 3.861
1.549 -1.549 3.861
1.549 1.549 -3.861
Be Re As
1 1 1
direct
0.000 0.000 0.000
0.661 0.661 0.000
0.331 0.331 0.000
```


Entry 7:
The following is a DFT calculation (GGA-PBEsol) of BeReAs2Se after structural relaxation.

As for the raw formation energy: 1107.9 meV/atom. As for the space group: P4/mmm. The density of states at the Fermi level is 4.4 states/eV/f.u.

Geometry as POSCAR:
```
BeReAs2Se
1.0
4.230 0.000 0.000
0.000 4.230 0.000
0.000 0.000 4.578
Be Re As Se
1 1 2 1
direct
0.000 0.000 0.000
0.500 0.500 0.500
0.000 0.500 0.000
0.500 0.000 0.000
0.000 0.000 0.500
```


Entry 8:
The following is a DFT calculation (GGA-PBEsol) of BeAsRu2 after structural relaxation.

As for the energy above the most stable polymorph in this dataset: 446 meV/atom. As for the space group: Pmmm. The density of states at the Fermi level is 3.4 states/eV/f.u.

Geometry as POSCAR:
```
BeAsRu2
1.0
3.026 0.000 0.000
0.000 3.726 0.000
0.000 0.000 4.576
Be As Ru
1 1 2
direct
0.000 0.000 0.000
0.500 0.000 0.500
0.000 0.500 0.500
0.500 0.500 0.000
```